Entry 1:
Material: Cs2PrIO6
Method: DFT, PBE
State: relaxed

Properties
Energy relative to the elements, uncorrected, eV/atom: -1.486
Energy, eV/atom: -5.265

Cell: 6.8674 6.8674 6.1377 Å, 90.00 90.00 120.00°
With the nearest neighbours (Å) after each atom.
Space group P-3m1 (No. 164)
Asymmetric unit:
Cs1 0.3333 0.6667 0.3863  3 O 3.06
Pr1 0.0000 0.0000 0.0000  6 O 2.44
I1 0.0000 0.0000 0.5000  6 O 1.93
O1 0.1290 0.2580 0.6900  1 I 1.93

Entry 2:
Material: LiTi2CI
Method: DFT, PBE
State: relaxed

Properties
Energy relative to the elements, uncorrected, eV/atom: 0.184
Energy, eV/atom: -5.512

Cell: 4.0662 4.0662 7.0081 Å, 90.00 90.00 90.00°
With the nearest neighbours (Å) after each atom.
Space group P4/mmm (No. 123)
Asymmetric unit:
Li1 0.0000 0.0000 0.0000  4 I 2.88
Ti1 0.0000 0.5000 0.5000  2 C 2.03
C1 0.5000 0.5000 0.5000  4 Ti 2.03
I1 0.5000 0.5000 0.0000  4 Li 2.88

Entry 3:
Material: Rb2YSbS4
Method: DFT, PBE
State: relaxed

Properties
Energy relative to the elements, uncorrected, eV/atom: -1.212
Energy, eV/atom: -4.841

Cell: 8.4905 8.6178 12.0947 Å, 90.00 90.00 90.00°
With the nearest neighbours (Å) after each atom.
Space group Imma (No. 74)
Asymmetric unit:
Rb1 0.0000 0.0000 0.0000  6 S 3.23-3.25
Rb2 0.2500 0.2500 0.2500  6 S 3.27
Y1 0.2500 0.2500 0.7500  6 S 2.80-2.81
Sb1 0.0000 0.0000 0.5000  6 S 2.83-2.85
S1 0.0000 0.0375 0.7327  2 Y 2.81, 1 Sb 2.83
S2 0.2171 0.2500 0.5195  1 Y 2.80, 2 Sb 2.85

Q: energy relative to the elements, uncorrected of number 1 (Cs2PrIO6)?
A: -1.486 eV/atom